No. 1
Entry from the Alexandria database: a relaxed Ho5ZrZn4 crystal (GGA-PBE).

Cell: 3.4945 3.4945 19.0922 Å, 90.00 90.00 90.00°
Space group P4/mmm (No. 123)
Inequivalent atoms, fractional coordinates:
Ho 0.0000 0.0000 0.0000
Ho 0.0000 0.0000 0.1887
Ho 0.0000 0.0000 0.3821
Zr 0.5000 0.5000 0.5000
Zn 0.5000 0.5000 0.0948
Zn 0.5000 0.5000 0.2846

***

No. 2
Entry from the Alexandria database: a relaxed Ho3Zr2Zn2 crystal (GGA-PBE).

Cell: 3.3249 30.2008 3.3568 Å, 90.00 90.00 90.00°
Space group Cmmm (No. 65)
Inequivalent atoms, fractional coordinates:
Ho 0.0000 0.0000 0.0000
Ho 0.0000 0.1298 0.0000
Zr 0.0000 0.2931 0.5000
Zn 0.0000 0.4363 0.5000

***

No. 3
Entry from the Alexandria database: a relaxed Ho2ZrZn3 crystal (GGA-PBE).

Summary:
relative energy among the computed polymorphs	16.8	meV per atom

Cell: 4.9085 4.9085 6.0507 Å, 90.00 90.00 120.00°
Space group P-3m1 (No. 164)
Inequivalent atoms, fractional coordinates:
Ho 0.3333 0.6667 0.1728
Zr 0.0000 0.0000 0.5000
Zn 0.0000 0.0000 0.0000
Zn 0.3333 0.6667 0.6608

***

No. 4
Entry from the Alexandria database: a relaxed Ho2Zr2Zn crystal (GGA-PBE).

Cell: 3.3504 3.3504 21.5555 Å, 90.00 90.00 90.00°
Space group I4/mmm (No. 139)
Inequivalent atoms, fractional coordinates:
Ho 0.0000 0.0000 0.0911
Zr 0.0000 0.0000 0.2998
Zn 0.0000 0.0000 0.5000

***

No. 5
Entry from the Alexandria database: a relaxed Ho2ZrZn6 crystal (GGA-PBE).

Cell: 7.6678 7.6678 3.3608 Å, 90.00 90.00 120.00°
Space group P6/mmm (No. 191)
Inequivalent atoms, fractional coordinates:
Ho 0.3333 0.6667 0.0000
Zr 0.0000 0.0000 0.0000
Zn 0.0000 0.3282 0.5000

***

No. 6
Entry from the Alexandria database: a relaxed HoZr2Zn crystal (GGA-PBE).

Summary:
relative energy among the computed polymorphs	357.7	meV per atom

Cell: 3.1621 3.1621 32.7430 Å, 90.00 90.00 120.00°
Space group R-3m (No. 166, hexagonal axes)
Inequivalent atoms, fractional coordinates:
Ho 0.0000 0.0000 0.0000
Zr 0.0000 0.0000 0.0977
Zn 0.0000 0.0000 0.5000

***

No. 7
Entry from the Alexandria database: a relaxed HoZr2Zn crystal (GGA-PBE).

Summary:
relative energy among the computed polymorphs	70.9	meV per atom

Cell: 3.2875 3.2875 8.3123 Å, 90.00 90.00 90.00°
Space group P4/mmm (No. 123)
Inequivalent atoms, fractional coordinates:
Ho 0.0000 0.0000 0.0000
Zr 0.5000 0.5000 0.2850
Zn 0.0000 0.0000 0.5000

***

No. 8
Entry from the Alexandria database: a relaxed HoZr2Zn crystal (GGA-PBE).

Summary:
relative energy among the computed polymorphs	92.7	meV per atom

Cell: 4.4384 4.4384 4.4946 Å, 90.00 90.00 90.00°
Space group P4/mmm (No. 123)
Inequivalent atoms, fractional coordinates:
Ho 0.0000 0.0000 0.0000
Zr 0.0000 0.5000 0.5000
Zn 0.5000 0.5000 0.0000

***

No. 9
Entry from the Alexandria database: a relaxed HoZr2Zn crystal (GGA-PBE).

Summary:
relative energy among the computed polymorphs	188.3	meV per atom

Cell: 5.0253 5.0253 12.3138 Å, 90.00 90.00 120.00°
Space group R3m (No. 160, hexagonal axes)
Inequivalent atoms, fractional coordinates:
Ho 0.0000 0.0000 0.0000
Zr 0.0000 0.0000 0.5016
Zr 0.0000 0.0000 0.7506
Zn 0.0000 0.0000 0.2506

***

No. 10
Entry from the Alexandria database: a relaxed HoZr4Zn5 crystal (GGA-PBE).

Cell: 3.3856 3.3856 16.8547 Å, 90.00 90.00 90.00°
Space group P4/mmm (No. 123)
Inequivalent atoms, fractional coordinates:
Ho 0.0000 0.0000 0.0000
Zr 0.0000 0.0000 0.2067
Zr 0.0000 0.0000 0.4021
Zn 0.5000 0.5000 0.1114
Zn 0.5000 0.5000 0.3048
Zn 0.5000 0.5000 0.5000

***

No. 11
Entry from the Alexandria database: a relaxed HoZr3Zn8 crystal (GGA-PBE).

Summary:
relative energy among the computed polymorphs	0.0	meV per atom

Cell: 5.2921 5.2921 25.9284 Å, 90.00 90.00 120.00°
Space group R3m (No. 160, hexagonal axes)
Inequivalent atoms, fractional coordinates:
Ho 0.0000 0.0000 0.0000
Zr 0.0000 0.0000 0.1263
Zr 0.0000 0.0000 0.4989
Zr 0.0000 0.0000 0.6216
Zn 0.0000 0.0000 0.3112
Zn 0.0000 0.0000 0.8121
Zn 0.0005 0.5002 0.0631
Zn 0.1676 0.3352 0.8942

***

No. 12
Entry from the Alexandria database: a relaxed Ho3Zr2Zn3 crystal (GGA-PBE).

Cell: 3.4367 5.0244 20.8781 Å, 90.00 90.00 90.00°
Space group Immm (No. 71)
Inequivalent atoms, fractional coordinates:
Ho 0.0000 0.0000 0.0000
Ho 0.0000 0.5000 0.1243
Zr 0.0000 0.0000 0.2326
Zn 0.0000 0.0000 0.5000
Zn 0.0000 0.5000 0.3815

***

No. 13
Entry from the Alexandria database: a relaxed HoZrZn10 crystal (GGA-PBE).

Cell: 4.1695 5.2512 9.0273 Å, 90.00 90.00 90.00°
Space group Pmmm (No. 47)
Inequivalent atoms, fractional coordinates:
Ho 0.0000 0.0000 0.0000
Zr 0.0000 0.5000 0.5000
Zn 0.0000 0.0000 0.3400
Zn 0.0000 0.5000 0.1739
Zn 0.5000 0.0000 0.5000
Zn 0.5000 0.2522 0.2541
Zn 0.5000 0.5000 0.0000

***

No. 14
Entry from the Alexandria database: a relaxed HoZr3Zn8 crystal (GGA-PBE).

Summary:
relative energy among the computed polymorphs	10.5	meV per atom

Cell: 5.3293 5.3293 8.5125 Å, 90.00 90.00 120.00°
Space group P3m1 (No. 156)
Inequivalent atoms, fractional coordinates:
Ho 0.0000 0.0000 0.0000
Zr 0.0000 0.0000 0.3776
Zr 0.6667 0.3333 0.4993
Zr 0.6667 0.3333 0.8588
Zn 0.1628 0.3257 0.6807
Zn 0.3333 0.6667 0.4328
Zn 0.3333 0.6667 0.9319
Zn 0.5059 0.0117 0.1879

***

No. 15
Entry from the Alexandria database: a relaxed Ho2ZrZn4 crystal (GGA-PBE).

Cell: 5.0080 5.0080 12.2116 Å, 90.00 90.00 90.00°
Space group I4/mmm (No. 139)
Inequivalent atoms, fractional coordinates:
Ho 0.0000 0.0000 0.2272
Zr 0.0000 0.0000 0.5000
Zn 0.0000 0.5000 0.1057

***

No. 16
Entry from the Alexandria database: a relaxed HoZr2Zn crystal (GGA-PBE).

Summary:
relative energy among the computed polymorphs	0.0	meV per atom

Cell: 3.3739 5.0123 10.8229 Å, 90.00 90.00 90.00°
Space group Immm (No. 71)
Inequivalent atoms, fractional coordinates:
Ho 0.0000 0.0000 0.0000
Zr 0.0000 0.5000 0.2166
Zn 0.0000 0.0000 0.5000

***

No. 17
Entry from the Alexandria database: a relaxed HoZrZn4 crystal (GGA-PBE).

Summary:
relative energy among the computed polymorphs	0.0	meV per atom

Cell: 4.3213 6.7684 7.6716 Å, 90.00 90.00 90.00°
Space group Immm (No. 71)
Inequivalent atoms, fractional coordinates:
Ho 0.0000 0.0000 0.0000
Zr 0.0000 0.5000 0.0000
Zn 0.0000 0.2234 0.3332

***

No. 18
Entry from the Alexandria database: a relaxed HoZr2Zn6 crystal (GGA-PBE).

Cell: 7.5941 7.5941 3.2726 Å, 90.00 90.00 120.00°
Space group P6/mmm (No. 191)
Inequivalent atoms, fractional coordinates:
Ho 0.0000 0.0000 0.0000
Zr 0.3333 0.6667 0.0000
Zn 0.0000 0.3373 0.5000

***

No. 19
Entry from the Alexandria database: a relaxed HoZr3Zn4 crystal (GGA-PBE).

Cell: 4.7938 4.7938 23.4688 Å, 90.00 90.00 120.00°
Space group R-3m (No. 166, hexagonal axes)
Inequivalent atoms, fractional coordinates:
Ho 0.0000 0.0000 0.0000
Zr 0.0000 0.0000 0.2474
Zr 0.0000 0.0000 0.5000
Zn 0.0000 0.0000 0.1255
Zn 0.0000 0.0000 0.3757

***

No. 20
Entry from the Alexandria database: a relaxed Ho2ZrZn3 crystal (GGA-PBE).

Summary:
relative energy among the computed polymorphs	0.0	meV per atom

Cell: 3.4857 3.4857 10.3877 Å, 90.00 90.00 90.00°
Space group P4/mmm (No. 123)
Inequivalent atoms, fractional coordinates:
Ho 0.0000 0.0000 0.1735
Zr 0.0000 0.0000 0.5000
Zn 0.5000 0.5000 0.0000
Zn 0.5000 0.5000 0.3500

***

Listing E_form for the structures above in their given order: -0.252, -0.058, -0.277, -0.084, -0.339, 0.235, -0.052, -0.030, 0.065, -0.279, -0.280, -0.238, -0.200, -0.269, -0.137, -0.123, -0.320, -0.306, -0.260, -0.294 eV/atom.
Listing E_tot for the structures above in their given order: -39.05, -67.57, -23.19, -55.89, -28.40, -66.03, -23.16, -23.07, -68.06, -47.93, -131.31, -73.11, -28.27, -43.65, -47.52, -46.88, -40.29, -32.07, -112.18, -23.29 eV/cell.